# 1
A plane-wave DFT calculation with meta-GGA SCAN was carried out for a PBEsol-optimized structure of CoTeP2Cl.

The structure in CIF format:
```
data_CoTeP2Cl
_space_group_name_H-M_alt 'P 4/m m m'
_space_group_IT_number 123
_space_group_name_Hall '-P 4 2'
_cell_length_a 4.442
_cell_length_b 4.442
_cell_length_c 4.433
_cell_angle_alpha 90.00
_cell_angle_beta 90.00
_cell_angle_gamma 90.00
loop_
_atom_site_label
_atom_site_type_symbol
_atom_site_fract_x
_atom_site_fract_y
_atom_site_fract_z
Co1 Co 0.000 0.000 0.000
Te1 Te 0.500 0.500 0.500
P1 P 0.000 0.500 0.000
Cl1 Cl 0.000 0.000 0.500
```

---

# 2
A plane-wave DFT calculation with meta-GGA SCAN was carried out for a PBEsol-optimized structure of Co2PbCl.

The structure in CIF format:
```
data_Co2PbCl
_space_group_name_H-M_alt 'F -4 3 m'
_space_group_IT_number 216
_space_group_name_Hall 'F -4 2 3'
_cell_length_a 6.493
_cell_length_b 6.493
_cell_length_c 6.493
_cell_angle_alpha 90.00
_cell_angle_beta 90.00
_cell_angle_gamma 90.00
loop_
_atom_site_label
_atom_site_type_symbol
_atom_site_fract_x
_atom_site_fract_y
_atom_site_fract_z
Co1 Co 0.000 0.000 0.000
Co2 Co 0.250 0.250 0.250
Pb1 Pb 0.250 0.250 0.750
Cl1 Cl 0.000 0.000 0.500
```

---

# 3
A plane-wave DFT calculation with meta-GGA SCAN was carried out for a PBEsol-optimized structure of Co2PbCl.

The structure in CIF format:
```
data_Co2PbCl
_space_group_name_H-M_alt 'P m m m'
_space_group_IT_number 47
_space_group_name_Hall '-P 2 2'
_cell_length_a 3.097
_cell_length_b 3.903
_cell_length_c 5.973
_cell_angle_alpha 90.00
_cell_angle_beta 90.00
_cell_angle_gamma 90.00
loop_
_atom_site_label
_atom_site_type_symbol
_atom_site_fract_x
_atom_site_fract_y
_atom_site_fract_z
Co1 Co 0.000 0.000 0.188
Pb1 Pb 0.500 0.500 0.000
Cl1 Cl 0.500 0.000 0.500
```

---

# 4
A plane-wave DFT calculation with meta-GGA SCAN was carried out for a PBEsol-optimized structure of Co2PbCl.

The structure in CIF format:
```
data_Co2PbCl
_space_group_name_H-M_alt 'R -3 m'
_space_group_IT_number 166
_space_group_name_Hall '-R 3 2"'
_cell_length_a 3.1877
_cell_length_b 3.1877
_cell_length_c 21.6826
_cell_angle_alpha 90.00
_cell_angle_beta 90.00
_cell_angle_gamma 120.00
loop_
_atom_site_label
_atom_site_type_symbol
_atom_site_fract_x
_atom_site_fract_y
_atom_site_fract_z
Co1 Co 0.0000 0.0000 0.2414
Pb1 Pb 0.0000 0.0000 0.0000
Cl1 Cl 0.0000 0.0000 0.5000
```

---

# 5
A plane-wave DFT calculation with meta-GGA SCAN was carried out for a PBEsol-optimized structure of CoPdCl2.

The structure in CIF format:
```
data_CoPdCl2
_space_group_name_H-M_alt 'R -3 m'
_space_group_IT_number 166
_space_group_name_Hall '-R 3 2"'
_cell_length_a 3.2464
_cell_length_b 3.2464
_cell_length_c 22.2727
_cell_angle_alpha 90.00
_cell_angle_beta 90.00
_cell_angle_gamma 120.00
loop_
_atom_site_label
_atom_site_type_symbol
_atom_site_fract_x
_atom_site_fract_y
_atom_site_fract_z
Co1 Co 0.0000 0.0000 0.0000
Pd1 Pd 0.0000 0.0000 0.5000
Cl1 Cl 0.0000 0.0000 0.3968
```

---

# 6
A plane-wave DFT calculation with meta-GGA SCAN was carried out for a PBEsol-optimized structure of CoPt2Cl.

The structure in CIF format:
```
data_CoPt2Cl
_space_group_name_H-M_alt 'P m m m'
_space_group_IT_number 47
_space_group_name_Hall '-P 2 2'
_cell_length_a 2.736
_cell_length_b 4.639
_cell_length_c 4.654
_cell_angle_alpha 90.00
_cell_angle_beta 90.00
_cell_angle_gamma 90.00
loop_
_atom_site_label
_atom_site_type_symbol
_atom_site_fract_x
_atom_site_fract_y
_atom_site_fract_z
Co1 Co 0.000 0.000 0.000
Pt1 Pt 0.000 0.500 0.500
Pt2 Pt 0.500 0.000 0.500
Cl1 Cl 0.500 0.500 0.000
```

---

# 7
A plane-wave DFT calculation with meta-GGA SCAN was carried out for a PBEsol-optimized structure of CoPt2Cl.

The structure in CIF format:
```
data_CoPt2Cl
_space_group_name_H-M_alt 'P m m 2'
_space_group_IT_number 25
_space_group_name_Hall 'P 2 -2'
_cell_length_a 2.803
_cell_length_b 2.814
_cell_length_c 7.563
_cell_angle_alpha 90.00
_cell_angle_beta 90.00
_cell_angle_gamma 90.00
loop_
_atom_site_label
_atom_site_type_symbol
_atom_site_fract_x
_atom_site_fract_y
_atom_site_fract_z
Co1 Co 0.000 0.000 0.000
Pt1 Pt 0.000 0.000 0.470
Pt2 Pt 0.500 0.500 0.214
Cl1 Cl 0.500 0.000 0.768
```

---

# 8
A plane-wave DFT calculation with meta-GGA SCAN was carried out for a PBEsol-optimized structure of Co2PtCl.

The structure in CIF format:
```
data_Co2PtCl
_space_group_name_H-M_alt 'P m m 2'
_space_group_IT_number 25
_space_group_name_Hall 'P 2 -2'
_cell_length_a 2.759
_cell_length_b 4.330
_cell_length_c 4.454
_cell_angle_alpha 90.00
_cell_angle_beta 90.00
_cell_angle_gamma 90.00
loop_
_atom_site_label
_atom_site_type_symbol
_atom_site_fract_x
_atom_site_fract_y
_atom_site_fract_z
Co1 Co 0.000 0.000 0.000
Co2 Co 0.000 0.500 0.415
Pt1 Pt 0.500 0.500 0.924
Cl1 Cl 0.000 0.000 0.498
```

---

# 9
A plane-wave DFT calculation with meta-GGA SCAN was carried out for a PBEsol-optimized structure of Co2PtCl.

The structure in CIF format:
```
data_Co2PtCl
_space_group_name_H-M_alt 'I -4 m 2'
_space_group_IT_number 119
_space_group_name_Hall 'I -4 -2'
_cell_length_a 3.791
_cell_length_b 3.791
_cell_length_c 7.446
_cell_angle_alpha 90.00
_cell_angle_beta 90.00
_cell_angle_gamma 90.00
loop_
_atom_site_label
_atom_site_type_symbol
_atom_site_fract_x
_atom_site_fract_y
_atom_site_fract_z
Co1 Co 0.000 0.000 0.000
Co2 Co 0.000 0.500 0.250
Pt1 Pt 0.000 0.000 0.500
Cl1 Cl 0.000 0.500 0.750
```

---

# 10
A plane-wave DFT calculation with meta-GGA SCAN was carried out for a PBEsol-optimized structure of Co2PtCl.

The structure in CIF format:
```
data_Co2PtCl
_space_group_name_H-M_alt 'I -4 2 d'
_space_group_IT_number 122
_space_group_name_Hall 'I -4 2bw'
_cell_length_a 6.497
_cell_length_b 6.497
_cell_length_c 5.040
_cell_angle_alpha 90.00
_cell_angle_beta 90.00
_cell_angle_gamma 90.00
loop_
_atom_site_label
_atom_site_type_symbol
_atom_site_fract_x
_atom_site_fract_y
_atom_site_fract_z
Co1 Co 0.214 0.750 0.125
Pt1 Pt 0.000 0.000 0.500
Cl1 Cl 0.000 0.000 0.000
```

---

# 11
A plane-wave DFT calculation with meta-GGA SCAN was carried out for a PBEsol-optimized structure of CoPt2Cl.

The structure in CIF format:
```
data_CoPt2Cl
_space_group_name_H-M_alt 'P 4/m m m'
_space_group_IT_number 123
_space_group_name_Hall '-P 4 2'
_cell_length_a 2.780
_cell_length_b 2.780
_cell_length_c 7.574
_cell_angle_alpha 90.00
_cell_angle_beta 90.00
_cell_angle_gamma 90.00
loop_
_atom_site_label
_atom_site_type_symbol
_atom_site_fract_x
_atom_site_fract_y
_atom_site_fract_z
Co1 Co 0.000 0.000 0.000
Pt1 Pt 0.500 0.500 0.222
Cl1 Cl 0.000 0.000 0.500
```

---

# 12
A plane-wave DFT calculation with meta-GGA SCAN was carried out for a PBEsol-optimized structure of Co2PtCl.

The structure in CIF format:
```
data_Co2PtCl
_space_group_name_H-M_alt 'I m m m'
_space_group_IT_number 71
_space_group_name_Hall '-I 2 2'
_cell_length_a 2.750
_cell_length_b 4.589
_cell_length_c 8.301
_cell_angle_alpha 90.00
_cell_angle_beta 90.00
_cell_angle_gamma 90.00
loop_
_atom_site_label
_atom_site_type_symbol
_atom_site_fract_x
_atom_site_fract_y
_atom_site_fract_z
Co1 Co 0.000 0.000 0.230
Pt1 Pt 0.000 0.500 0.000
Cl1 Cl 0.000 0.500 0.500
```

---

no.,ΔE_f (raw) (eV per atom)
1,0.398
2,0.875
3,0.372
4,0.202
5,-0.333
6,0.375
7,0.178
8,0.180
9,0.681
10,0.487
11,0.287
12,0.563